No. 1
The following is a DFT calculation (PBE) of an optimized crystal structure of Cs2VPtI6.

a b c (Å): 7.9511 7.9511 12.8544
angles (deg): 90.00 90.00 90.00
Space group I4/mmm (No. 139)
Symmetry-distinct sites (fractional):
Cs 0.0000 0.5000 0.2500 x4
V 0.0000 0.0000 0.0000 x2
Pt 0.0000 0.0000 0.5000 x2
I 0.0000 0.0000 0.2135 x4
I 0.2391 0.2391 0.5000 x8

E_tot in eV/cell: -65.4
DOS at the Fermi energy in states/eV/cell: 12.89
Total magnetic moment in μB per atom: 0.300


No. 2
The following is a DFT calculation (PBE) of an optimized crystal structure of Cs2PtWI6.

a b c (Å): 7.9278 7.9278 12.6825
angles (deg): 90.00 90.00 90.00
Space group I4/mmm (No. 139)
Symmetry-distinct sites (fractional):
Cs 0.0000 0.5000 0.2500 x4
Pt 0.0000 0.0000 0.0000 x2
W 0.0000 0.0000 0.5000 x2
I 0.0000 0.0000 0.2794 x4
I 0.2456 0.2456 0.0000 x8

E_tot in eV/cell: -68.1
DOS at the Fermi energy in states/eV/cell: 16.94
Total magnetic moment in μB per atom: 0.267


No. 3
The following is a DFT calculation (PBE) of an optimized crystal structure of Cs2ZnPtI.

a b c (Å): 6.7154 6.7154 4.8787
angles (deg): 90.00 90.00 90.00
Space group P4/mmm (No. 123)
Symmetry-distinct sites (fractional):
Cs 0.0000 0.5000 0.0000 x2
Zn 0.0000 0.0000 0.5000 x1
Pt 0.0000 0.0000 0.0000 x1
I 0.5000 0.5000 0.5000 x1

E_tot in eV/cell: -13.5
DOS at the Fermi energy in states/eV/cell: 1.79
Total magnetic moment in μB per atom: 0.000


No. 4
The following is a DFT calculation (PBE) of an optimized crystal structure of CsPu4I8.

a b c (Å): 13.6014 13.6014 13.6014
angles (deg): 90.00 90.00 90.00
Space group F-43m (No. 216)
Symmetry-distinct sites (fractional):
Cs 0.0000 0.0000 0.0000 x4
Pu 0.1165 0.1165 0.3835 x16
I 0.1188 0.1188 0.6188 x16
I 0.1463 0.1463 0.1463 x16

E_tot in eV/cell: -332.0
DOS at the Fermi energy in states/eV/cell: 219.54
Total magnetic moment in μB per atom: 1.923


No. 5
The following is a DFT calculation (PBE) of an optimized crystal structure of CsPu3I9.

a b c (Å): 11.7767 11.7767 6.1930
angles (deg): 90.00 90.00 120.00
Space group P6/mmm (No. 191)
Symmetry-distinct sites (fractional):
Cs 0.0000 0.0000 0.0000 x1
Pu 0.0000 0.5000 0.5000 x3
I 0.0000 0.5000 0.0000 x3
I 0.1968 0.3936 0.5000 x6

E_tot in eV/cell: -72.1
DOS at the Fermi energy in states/eV/cell: 46.72
Total magnetic moment in μB per atom: 1.231


No. 6
The following is a DFT calculation (PBE) of an optimized crystal structure of Cs3PuI6.

a b c (Å): 8.9934 9.7006 15.7755
angles (deg): 90.00 124.58 90.00
Space group P2_1/c (No. 14)
Symmetry-distinct sites (fractional):
Cs 0.0000 0.0000 0.0000 x2
Cs 0.2835 0.0793 0.7508 x4
Pu 0.5000 0.0000 0.5000 x2
I 0.1561 0.0483 0.2791 x4
I 0.2808 0.6751 0.0584 x4
I 0.4068 0.2281 0.0673 x4

E_tot in eV/cell: -80.0
DOS at the Fermi energy in states/eV/cell: 22.70
Total magnetic moment in μB per atom: 0.500


No. 7
The following is a DFT calculation (PBE) of an optimized crystal structure of CsPu4I8.

a b c (Å): 8.4104 8.4104 20.1241
angles (deg): 90.00 90.00 120.00
Space group P6_3/mmc (No. 194)
Symmetry-distinct sites (fractional):
Cs 0.0000 0.0000 0.0000 x2
Pu 0.0000 0.0000 0.2500 x2
Pu 0.0197 0.5099 0.2500 x6
I 0.1694 0.3387 0.6484 x12
I 0.3333 0.6667 0.1398 x4

E_tot in eV/cell: -168.4
DOS at the Fermi energy in states/eV/cell: 93.23
Total magnetic moment in μB per atom: 1.923


No. 8
The following is a DFT calculation (PBE) of an optimized crystal structure of CsPuI2.

a b c (Å): 4.4373 4.4373 28.6539
angles (deg): 90.00 90.00 120.00
Space group R-3m (No. 166, hexagonal axes)
Symmetry-distinct sites (fractional):
Cs 0.0000 0.0000 0.0000 x3
Pu 0.0000 0.0000 0.5000 x3
I 0.0000 0.0000 0.2352 x6

E_tot in eV/cell: -65.5
DOS at the Fermi energy in states/eV/cell: 21.92
Total magnetic moment in μB per atom: 1.683


No. 9
The following is a DFT calculation (PBE) of an optimized crystal structure of Cs2PuI4.

a b c (Å): 6.2602 6.2602 19.4306
angles (deg): 90.00 90.00 90.00
Space group I4/mmm (No. 139)
Symmetry-distinct sites (fractional):
Cs 0.0000 0.0000 0.1385 x4
Pu 0.0000 0.0000 0.5000 x2
I 0.0000 0.0000 0.3354 x4
I 0.0000 0.5000 0.0000 x4

E_tot in eV/cell: -62.8
DOS at the Fermi energy in states/eV/cell: 39.32
Total magnetic moment in μB per atom: 0.857


No. 10
The following is a DFT calculation (PBE) of an optimized crystal structure of Cs4PuI6.

a b c (Å): 14.8746 14.8746 18.6566
angles (deg): 90.00 90.00 120.00
Space group R-3c (No. 167, hexagonal axes)
Symmetry-distinct sites (fractional):
Cs 0.0000 0.0000 0.2500 x6
Cs 0.0000 0.3771 0.2500 x18
Pu 0.0000 0.0000 0.0000 x6
I 0.0299 0.1909 0.3991 x36

E_tot in eV/cell: -255.4
DOS at the Fermi energy in states/eV/cell: 129.41
Total magnetic moment in μB per atom: 0.546


No. 11
The following is a DFT calculation (PBE) of an optimized crystal structure of CsPuI2.

a b c (Å): 4.0347 4.0347 9.1432
angles (deg): 90.00 90.00 90.00
Space group P4/mmm (No. 123)
Symmetry-distinct sites (fractional):
Cs 0.0000 0.0000 0.0000 x1
Pu 0.0000 0.0000 0.5000 x1
I 0.5000 0.5000 0.2916 x2

E_tot in eV/cell: -21.6
DOS at the Fermi energy in states/eV/cell: 8.70
Total magnetic moment in μB per atom: 1.731


No. 12
The following is a DFT calculation (PBE) of an optimized crystal structure of Cs4Pu6I19.

a b c (Å): 14.2495 14.2495 14.2495
angles (deg): 90.00 90.00 90.00
Space group I23 (No. 197)
Symmetry-distinct sites (fractional):
Cs 0.1558 0.1558 0.1558 x8
Pu 0.0000 0.1632 0.5000 x12
I 0.0000 0.0000 0.0000 x2
I 0.0000 0.0000 0.3510 x12
I 0.0470 0.2834 0.6825 x24

E_tot in eV/cell: -309.8
DOS at the Fermi energy in states/eV/cell: 180.18
Total magnetic moment in μB per atom: 1.138


No. 13
The following is a DFT calculation (PBE) of an optimized crystal structure of Cs2Pu2I7.

a b c (Å): 10.2081 12.1632 8.7195
angles (deg): 90.00 90.00 90.00
Space group Cmmm (No. 65)
Symmetry-distinct sites (fractional):
Cs 0.2212 0.0000 0.0000 x4
Pu 0.0000 0.2813 0.5000 x4
I 0.0000 0.0000 0.5000 x2
I 0.0000 0.5000 0.2834 x4
I 0.2500 0.2500 0.2702 x8

E_tot in eV/cell: -109.3
DOS at the Fermi energy in states/eV/cell: 53.52
Total magnetic moment in μB per atom: 1.000


No. 14
The following is a DFT calculation (PBE) of an optimized crystal structure of CsPuI6.

a b c (Å): 11.5045 11.5045 10.4836
angles (deg): 90.00 90.00 120.00
Space group R-3m (No. 166, hexagonal axes)
Symmetry-distinct sites (fractional):
Cs 0.0000 0.0000 0.0000 x3
Pu 0.0000 0.0000 0.5000 x3
I 0.0923 0.5461 0.3306 x18

E_tot in eV/cell: -95.0
DOS at the Fermi energy in states/eV/cell: 29.10
Total magnetic moment in μB per atom: 0.374


No. 15
The following is a DFT calculation (PBE) of an optimized crystal structure of Cs3Pu2I7.

a b c (Å): 6.2820 6.2820 31.7737
angles (deg): 90.00 90.00 90.00
Space group I4/mmm (No. 139)
Symmetry-distinct sites (fractional):
Cs 0.0000 0.0000 0.0000 x2
Cs 0.0000 0.0000 0.1792 x4
Pu 0.0000 0.0000 0.3995 x4
I 0.0000 0.0000 0.3002 x4
I 0.0000 0.0000 0.5000 x2
I 0.0000 0.5000 0.0957 x8

E_tot in eV/cell: -114.7
DOS at the Fermi energy in states/eV/cell: 76.47
Total magnetic moment in μB per atom: 1.000


No. 16
The following is a DFT calculation (PBE) of an optimized crystal structure of CsPuI4.

a b c (Å): 10.8134 15.9235 7.5294
angles (deg): 90.00 117.42 90.00
Space group C2/c (No. 15)
Symmetry-distinct sites (fractional):
Cs 0.0000 0.1364 0.2500 x4
Pu 0.0000 0.4877 0.2500 x4
I 0.1023 0.3446 0.5781 x8
I 0.2411 0.0628 0.8314 x8

E_tot in eV/cell: -114.1
DOS at the Fermi energy in states/eV/cell: 46.06
Total magnetic moment in μB per atom: 0.833


No. 17
The following is a DFT calculation (PBE) of an optimized crystal structure of Cs2Pu2I5.

a b c (Å): 16.9651 6.3299 9.1847
angles (deg): 90.00 111.15 90.00
Space group C2/m (No. 12)
Symmetry-distinct sites (fractional):
Cs 0.1066 0.0000 0.3072 x4
Pu 0.1694 0.5000 0.9120 x4
I 0.0000 0.5000 0.0000 x2
I 0.1398 0.0000 0.8822 x4
I 0.1508 0.5000 0.5625 x4

E_tot in eV/cell: -95.1
DOS at the Fermi energy in states/eV/cell: 60.94
Total magnetic moment in μB per atom: 1.445


No. 18
The following is a DFT calculation (PBE) of an optimized crystal structure of CsPuI4.

a b c (Å): 11.8022 14.8844 9.3329
angles (deg): 90.00 115.67 90.00
Space group C2/c (No. 15)
Symmetry-distinct sites (fractional):
Cs 0.0000 0.1322 0.2500 x4
Pu 0.0000 0.4903 0.7500 x4
I 0.0043 0.3583 0.4869 x8
I 0.2148 0.0199 0.0898 x8

E_tot in eV/cell: -114.9
DOS at the Fermi energy in states/eV/cell: 55.87
Total magnetic moment in μB per atom: 0.833


No. 19
The following is a DFT calculation (PBE) of an optimized crystal structure of Cs3PuI7.

a b c (Å): 13.4172 12.0658 9.7479
angles (deg): 90.00 128.91 90.00
Space group Cm (No. 8)
Symmetry-distinct sites (fractional):
Cs 0.0000 0.0000 0.0000 x2
Cs 0.4839 0.2235 0.4197 x4
Pu 0.4464 0.0000 0.8778 x2
I 0.1284 0.3300 0.1772 x4
I 0.1293 0.5000 0.7870 x2
I 0.1429 0.0000 0.4885 x2
I 0.2971 0.0000 0.0215 x2
I 0.3684 0.2394 0.7014 x4

E_tot in eV/cell: -81.9
DOS at the Fermi energy in states/eV/cell: 35.03
Total magnetic moment in μB per atom: 0.370


| no. | raw formation energy (meV per atom) |
| --- | --- |
| 1 | -656 |
| 2 | -406 |
| 3 | -592 |
| 4 | -956 |
| 5 | -1097 |
| 6 | -1379 |
| 7 | -1049 |
| 8 | -883 |
| 9 | -1310 |
| 10 | -1411 |
| 11 | -839 |
| 12 | -1242 |
| 13 | -1222 |
| 14 | -897 |
| 15 | -1272 |
| 16 | -1192 |
| 17 | -1045 |
| 18 | -1221 |
| 19 | -1200 |